No. 1
VASP calculation (PBE-GGA) on a geometry-optimized K2Gd2Sb2Se9 structure.

```
data_K2Gd2Sb2Se9
_chemical_formula_sum 'K16 Gd16 Sb16 Se72'
_cell_length_a 23.048
_cell_length_b 8.463
_cell_length_c 21.297
_cell_angle_alpha 90.00
_cell_angle_beta 122.68
_cell_angle_gamma 90.00
_space_group_name_H-M_alt 'C 1 2/m 1'
_space_group_IT_number 12
loop_
_space_group_symop_operation_xyz
'x,y,z'
'-x,-y,-z'
'-x,y,-z'
'x,-y,z'
'x+1/2,y+1/2,z'
'-x+1/2,-y+1/2,-z'
'-x+1/2,y+1/2,-z'
'x+1/2,-y+1/2,z'
loop_
_atom_site_label
_atom_site_type_symbol
_atom_site_fract_x
_atom_site_fract_y
_atom_site_fract_z
K1 K 0.115 0.250 0.445
K2 K 0.170 0.248 0.055
Gd1 Gd 0.089 0.251 0.795
Gd2 Gd 0.207 0.251 0.295
Sb1 Sb 0.031 0.000 0.108
Sb2 Sb 0.038 0.500 0.134
Sb3 Sb 0.075 0.000 0.608
Sb4 Sb 0.097 0.500 0.634
Se1 Se 0.000 0.227 0.000
Se2 Se 0.000 0.227 0.500
Se3 Se 0.008 0.000 0.678
Se4 Se 0.011 0.500 0.680
Se5 Se 0.052 0.257 0.219
Se6 Se 0.108 0.000 0.903
Se7 Se 0.113 0.500 0.911
Se8 Se 0.167 0.256 0.719
Se9 Se 0.168 0.000 0.177
Se10 Se 0.171 0.500 0.181
Se11 Se 0.173 0.000 0.367
Se12 Se 0.178 0.500 0.371
Se13 Se 0.192 0.500 0.869
Se14 Se 0.194 0.000 0.869
Se15 Se 0.202 0.000 0.595
Se16 Se 0.206 0.500 0.592
```

Output
Energy relative to the elements, uncorrected in eV per atom: -1.05

***

No. 2
VASP calculation (PBE-GGA) on a geometry-optimized KGd2Sc structure.

```
data_KGd2Sc
_chemical_formula_sum 'K3 Gd6 Sc3'
_cell_length_a 3.5334
_cell_length_b 3.5334
_cell_length_c 38.6058
_cell_angle_alpha 90.00
_cell_angle_beta 90.00
_cell_angle_gamma 120.00
_space_group_name_H-M_alt 'R -3 m'
_space_group_IT_number 166
_space_group_name_Hall '-R 3 2"'
loop_
_atom_site_label
_atom_site_type_symbol
_atom_site_fract_x
_atom_site_fract_y
_atom_site_fract_z
K1 K 0.0000 0.0000 0.0000
Gd1 Gd 0.0000 0.0000 0.0981
Sc1 Sc 0.0000 0.0000 0.5000
```

Output
Energy relative to the elements in kJ/mol of formula units: 96.0

***

No. 3
VASP calculation (PBE-GGA) on a geometry-optimized KSr2Gd structure.

```
data_KSr2Gd
_chemical_formula_sum 'K1 Sr2 Gd1'
_cell_length_a 4.047
_cell_length_b 4.047
_cell_length_c 12.395
_cell_angle_alpha 90.00
_cell_angle_beta 90.00
_cell_angle_gamma 90.00
_space_group_name_H-M_alt 'P 4/m m m'
_space_group_IT_number 123
_space_group_name_Hall '-P 4 2'
loop_
_atom_site_label
_atom_site_type_symbol
_atom_site_fract_x
_atom_site_fract_y
_atom_site_fract_z
K1 K 0.000 0.000 0.000
Sr1 Sr 0.500 0.500 0.287
Gd1 Gd 0.000 0.000 0.500
```

Output
Energy relative to the elements in kJ/mol of formula units: 61.1